*P*
## NaLa2Pd (PBE)

Data for NaLa2Pd after structural relaxation.

The space group is Fm-3m (No. 225) and the conventional cell measures 7.656, 7.656 and 7.656 Å, with angles of 90.00, 90.00 and 90.00 degrees. The asymmetric unit holds Na at (0.000, 0.000, 0.000), La at (0.250, 0.250, 0.250) and Pd at (0.000, 0.000, 0.500).

The value obtained for the density of states at the Fermi level is 6.38 states/eV/f.u.

=====

*Q*
## NaLa2Pd (PBE)

Data for NaLa2Pd after structural relaxation.

The space group is P4/mmm (No. 123) and the conventional cell measures 3.660, 3.660 and 9.568 Å, with angles of 90.00, 90.00 and 90.00 degrees. The asymmetric unit holds Na at (0.000, 0.000, 0.000), La at (0.500, 0.500, 0.317) and Pd at (0.000, 0.000, 0.500).

The value obtained for the density of states at the Fermi level is 3.48 states/eV/f.u.

=====

Most stable of them? *Q*.

=====

*P*
## NaLa2Pd (PBE)

Data for NaLa2Pd after structural relaxation.

The space group is I-42d (No. 122) and the conventional cell measures 8.592, 8.592 and 6.815 Å, with angles of 90.00, 90.00 and 90.00 degrees. The asymmetric unit holds Na at (0.000, 0.000, 0.000), La at (0.199, 0.250, 0.625) and Pd at (0.000, 0.000, 0.500).

The value obtained for the density of states at the Fermi level is 7.21 states/eV/f.u.

=====

*Q*
## NaLa2Pd (PBE)

Data for NaLa2Pd after structural relaxation.

The space group is R3m (No. 160, hexagonal axes) and the conventional cell measures 4.2841, 4.2841 and 28.0121 Å, with angles of 90.00, 90.00 and 120.00 degrees. The asymmetric unit holds Na at (0.0000, 0.0000, 0.0000), La at (0.0000, 0.0000, 0.2234), La at (0.0000, 0.0000, 0.4443) and Pd at (0.0000, 0.0000, 0.8340).

The value obtained for the density of states at the Fermi level is 3.47 states/eV/f.u.

=====

Most stable of them? *Q*.

=====

*P*
## NaLaPm2 (PBE)

Data for NaLaPm2 after structural relaxation.

The space group is R3m (No. 160, hexagonal axes) and the conventional cell measures 3.6366, 3.6366 and 37.3505 Å, with angles of 90.00, 90.00 and 120.00 degrees. The asymmetric unit holds Na at (0.0000, 0.0000, 0.0000), La at (0.0000, 0.0000, 0.1667), Pm at (0.0000, 0.0000, 0.4186) and Pm at (0.0000, 0.0000, 0.5815).

The value obtained for the density of states at the Fermi level is 6.49 states/eV/f.u.

=====

*Q*
## NaLaPm2 (PBE)

Data for NaLaPm2 after structural relaxation.

The space group is R-3m (No. 166, hexagonal axes) and the conventional cell measures 3.6018, 3.6018 and 39.0474 Å, with angles of 90.00, 90.00 and 120.00 degrees. The asymmetric unit holds Na at (0.0000, 0.0000, 0.0000), La at (0.0000, 0.0000, 0.5000) and Pm at (0.0000, 0.0000, 0.0912).

The value obtained for the density of states at the Fermi level is 5.38 states/eV/f.u.

=====

Most stable of them? *P*.